PBE MgTe2SeI, relaxed; DOS at the Fermi energy = 2.947 states/eV per cell; energy above the most stable polymorph in this dataset = 0.000 eV/atom
1.0
-5.107 1.468 -1.568
-1.002 -5.205 -1.610
-1.928 -1.218 5.139
I Mg Te Se
1 1 2 1
Direct
0.000 0.000 0.500
0.500 0.500 0.500
0.000 0.500 0.000
0.500 0.000 0.000
0.000 0.000 0.000

***

PBE Ta3ReI, relaxed; DOS at the Fermi energy = 9.152 states/eV per cell; energy above the most stable polymorph in this dataset = 1.223 eV/atom
1.0
-0.294 -4.316 2.253
3.006 -1.937 -3.317
3.830 1.188 2.777
I Re Ta
1 1 3
Direct
0.000 0.000 0.000
0.500 0.500 0.500
0.000 0.500 0.000
0.000 0.000 0.500
0.500 0.000 0.000

***

PBE SrBeCdAg2, relaxed; DOS at the Fermi energy = 2.431 states/eV per cell; energy relative to the elements = -0.0407 eV per atom
1.0
-4.089 -2.187 -1.262
1.938 -4.258 1.101
-1.604 0.424 4.463
Sr Be Ag Cd
1 1 2 1
Direct
0.500 0.500 0.500
0.000 0.000 0.000
0.000 0.500 0.000
0.500 0.000 0.000
0.000 0.000 0.500

***

PBE AcLaTbY3, relaxed; DOS at the Fermi energy = 18.584 states/eV per cell; energy relative to the elements = 0.0389 eV per atom
1.0
-2.962 1.994 0.913
-4.429 -2.070 -9.853
-3.030 -7.776 7.159
Ac La Tb Y
2 2 2 6
Direct
0.250 0.130 0.289
0.750 0.870 0.711
0.250 0.130 0.630
0.750 0.870 0.370
0.250 0.619 0.120
0.750 0.381 0.880
0.750 0.868 0.039
0.250 0.132 0.961
0.250 0.617 0.455
0.750 0.383 0.545
0.750 0.383 0.205
0.250 0.617 0.795

***

PBE RbCaBeSiPdSe, relaxed; DOS at the Fermi energy = 1.758 states/eV per cell; energy above the most stable polymorph in this dataset = 0.181 eV/atom
1.0
-0.360 -1.563 3.444
-3.627 -1.678 -1.135
3.224 -8.734 -1.646
Be Pd Ca Si Rb Se
1 1 1 1 1 1
Direct
0.855 0.792 0.727
0.309 0.507 0.827
0.720 0.007 0.019
0.879 0.303 0.682
0.503 0.886 0.417
0.169 0.481 0.123

***

PBE EuCd2In, relaxed; DOS at the Fermi energy = 9.643 states/eV per cell; energy relative to the elements = -0.2701 eV per atom
1.0
-0.113 -4.402 2.092
2.820 1.548 3.408
-3.742 1.289 2.510
Eu Cd In
1 2 1
Direct
0.500 0.500 0.500
0.000 0.000 0.500
0.000 0.500 0.000
0.500 0.000 0.000

***

PBE TbPm2Ga3, relaxed; DOS at the Fermi energy = 5.065 states/eV per cell; energy above the most stable polymorph in this dataset = 0.003 eV/atom; energy relative to the elements = -0.5725 eV per atom
1.0
5.143 0.000 0.000
-2.571 4.454 0.000
0.000 0.000 12.655
Tb Pm Ga
2 4 6
Direct
0.333 0.667 0.667
0.667 0.333 0.333
0.000 0.000 0.500
0.333 0.667 0.169
0.667 0.333 0.831
0.000 0.000 0.000
0.333 0.667 0.418
0.667 0.333 0.085
0.000 0.000 0.748
0.000 0.000 0.252
0.333 0.667 0.915
0.667 0.333 0.582

***

PBE Cs12K3Br5, relaxed; DOS at the Fermi energy = 53.826 states/eV per cell; uncorrected energy = -1.891 eV/atom
1.0
20.823 0.000 0.000
-6.941 19.632 0.000
-6.941 -9.816 17.002
K Br Cs
12 20 48
Direct
0.750 0.375 0.125
0.875 0.750 0.125
0.375 0.750 0.625
0.250 0.125 0.375
0.875 0.125 0.250
0.375 0.625 0.250
0.625 0.375 0.750
0.125 0.875 0.750
0.750 0.875 0.625
0.625 0.250 0.375
0.125 0.250 0.875
0.250 0.625 0.875
0.125 0.375 0.250
0.000 0.500 0.000
0.000 0.000 0.000
0.375 0.250 0.125
0.500 0.000 0.500
0.500 0.500 0.000
0.125 0.750 0.375
0.750 0.125 0.875
0.750 0.625 0.375
0.375 0.125 0.750
0.625 0.875 0.250
0.500 0.500 0.500
0.500 0.000 0.000
0.000 0.000 0.500
0.250 0.375 0.625
0.250 0.875 0.125
0.000 0.500 0.500
0.875 0.250 0.625
0.625 0.750 0.875
0.875 0.625 0.750
0.691 0.107 0.010
0.319 0.510 0.404
0.990 0.393 0.309
0.510 0.191 0.107
0.585 0.691 0.681
0.990 0.596 0.181
0.319 0.809 0.415
0.096 0.915 0.107
0.596 0.990 0.681
0.691 0.585 0.181
0.809 0.490 0.393
0.819 0.904 0.010
0.107 0.691 0.510
0.393 0.404 0.085
0.085 0.904 0.393
0.415 0.107 0.596
0.085 0.181 0.191
0.490 0.681 0.096
0.819 0.915 0.309
0.107 0.415 0.096
0.393 0.990 0.809
0.596 0.607 0.415
0.904 0.819 0.510
0.809 0.319 0.915
0.404 0.393 0.585
0.096 0.181 0.490
0.191 0.681 0.085
0.181 0.085 0.691
0.607 0.010 0.191
0.893 0.585 0.904
0.510 0.319 0.904
0.585 0.893 0.404
0.915 0.819 0.809
0.915 0.096 0.607
0.893 0.309 0.490
0.181 0.096 0.990
0.607 0.596 0.915
0.404 0.010 0.319
0.309 0.415 0.819
0.191 0.510 0.607
0.904 0.085 0.893
0.681 0.191 0.585
0.490 0.809 0.893
0.010 0.404 0.819
0.415 0.309 0.319
0.010 0.607 0.691
0.681 0.490 0.596
0.309 0.893 0.990

***

PBE La5CeZn3, relaxed; DOS at the Fermi energy = 30.029 states/eV per cell; energy relative to the elements = -0.1215 eV per atom
1.0
7.045 0.000 0.000
0.000 9.193 0.000
0.000 -4.596 7.960
La Ce Zn
10 2 6
Direct
0.000 0.666 0.333
0.500 0.334 0.667
0.000 0.334 0.667
0.500 0.666 0.333
0.750 0.676 0.676
0.750 0.000 0.324
0.750 0.324 0.000
0.250 0.324 0.324
0.250 0.000 0.676
0.250 0.676 0.000
0.000 0.000 0.000
0.500 0.000 0.000
0.750 0.337 0.337
0.750 0.000 0.663
0.750 0.663 0.000
0.250 0.663 0.663
0.250 0.000 0.337
0.250 0.337 0.000

***

PBE KRb3Ni2Cl8, relaxed; DOS at the Fermi energy = 1.157 states/eV per cell; uncorrected energy = -3.476 eV/atom
1.0
7.488 0.000 0.000
-3.744 6.485 0.000
0.000 0.000 9.448
K Rb Ni Cl
1 3 2 8
Direct
0.000 0.000 0.500
0.333 0.667 0.619
0.667 0.333 0.381
0.000 0.000 0.000
0.333 0.667 0.189
0.667 0.333 0.811
0.333 0.667 0.957
0.667 0.333 0.043
0.180 0.820 0.303
0.820 0.180 0.697
0.180 0.359 0.303
0.820 0.641 0.697
0.641 0.820 0.303
0.359 0.180 0.697

***

PBE Ba2Cd2Sn3, relaxed; DOS at the Fermi energy = 3.143 states/eV per cell; energy above the most stable polymorph in this dataset = 0.051 eV/atom; energy relative to the elements = -0.4377 eV per atom
1.0
4.944 0.000 0.000
-2.472 6.193 -0.101
0.000 -2.978 7.407
Ba Cd Sn
2 2 3
Direct
0.855 0.710 0.214
0.145 0.290 0.786
0.844 0.688 0.729
0.156 0.312 0.271
0.500 0.000 0.000
0.599 0.197 0.439
0.401 0.803 0.561

***

PBE Sr2HoTl, relaxed; DOS at the Fermi energy = 4.313 states/eV per cell; energy relative to the elements = 0.1593 eV per atom
1.0
3.844 0.000 0.000
1.922 3.329 0.000
1.922 1.110 12.392
Sr Tl Ho
2 1 1
Direct
0.096 0.096 0.711
0.904 0.904 0.289
0.500 0.500 0.500
0.000 0.000 0.000